[1]
Here is crystalline InReSe at its relaxed geometry from Alexandria via LeMat-Bulk. Energies are from PBE-GGA.

```
3
Lattice="-1.387 2.978 -2.943 0.865 -4.130 -1.283 -3.164 -0.857 0.624" Properties=species:S:1:pos:R:3 pbc="T T T"
Re -2.218 0.180 -2.077
In 0.000 0.000 0.000
Se -1.467 -2.189 -1.524
```

## Properties
- E: -16.90 eV for the cell shown
- ρ: 11.22 Mg/m³
- Formation energy without anion corrections: 591 meV/atom

***

[2]
Here is crystalline InReSe2 at its relaxed geometry from Alexandria via LeMat-Bulk. Energies are from PBE-GGA.

```
4
Lattice="-1.017 -2.421 -1.802 3.339 1.225 -3.530 5.389 -2.008 -0.345" Properties=species:S:1:pos:R:3 pbc="T T T"
Re 2.694 -1.004 -0.172
In 3.855 -1.602 -2.839
Se 0.000 0.000 0.000
Se 1.161 -0.598 -2.666
```

## Properties
- E: -19.04 eV for the cell shown
- ρ: 10.18 Mg/m³
- Formation energy without anion corrections: 779 meV/atom

***

[3]
Here is crystalline InReSe2 at its relaxed geometry from Alexandria via LeMat-Bulk. Energies are from PBE-GGA.

```
4
Lattice="3.199 -0.019 0.000 -1.665 2.731 0.000 0.000 0.000 9.922" Properties=species:S:1:pos:R:3 pbc="T T T"
Re 0.767 1.356 7.442
In 0.767 1.356 2.481
Se 0.000 0.000 9.411
Se 0.000 0.000 5.472
```

## Properties
- E: -20.49 eV for the cell shown
- ρ: 8.82 Mg/m³
- Formation energy without anion corrections: 416 meV/atom

***

[4]
Here is crystalline In2ReSe at its relaxed geometry from Alexandria via LeMat-Bulk. Energies are from PBE-GGA.

```
4
Lattice="3.134 0.007 0.000 -1.575 2.709 0.000 0.000 0.000 10.436" Properties=species:S:1:pos:R:3 pbc="T T T"
In 0.000 0.000 0.110
In 0.780 1.358 2.957
Re 0.000 0.000 5.361
Se 0.780 1.358 7.227
```

## Properties
- E: -19.69 eV for the cell shown
- ρ: 9.26 Mg/m³
- Formation energy without anion corrections: 430 meV/atom

***

[5]
Here is crystalline InRe4Se8 at its relaxed geometry from Alexandria via LeMat-Bulk. Energies are from PBE-GGA.

```
13
Lattice="8.842 -3.235 0.933 8.842 3.235 0.933 7.096 0.000 6.257" Properties=species:S:1:pos:R:3 pbc="T T T"
Se 14.567 -1.622 5.761
Se 15.442 0.000 3.091
Se 18.196 0.000 5.965
Re 7.969 1.617 3.595
Se 10.213 -1.622 2.363
Se 10.213 1.622 2.363
In 12.390 0.000 4.062
Se 14.567 1.622 5.761
Se 6.584 0.000 2.158
Re 7.969 -1.617 3.595
Re 0.000 0.000 0.000
Re 8.842 0.000 0.933
Se 9.338 0.000 5.032
```

## Properties
- E: -80.30 eV for the cell shown
- ρ: 7.86 Mg/m³
- Formation energy without anion corrections: 8 meV/atom

***

[6]
Here is crystalline In2ReSe at its relaxed geometry from Alexandria via LeMat-Bulk. Energies are from PBE-GGA.

```
4
Lattice="8.401 -0.287 -0.169 7.827 3.066 -0.169 7.827 1.340 2.763" Properties=species:S:1:pos:R:3 pbc="T T T"
In 24.029 4.115 2.422
Se 18.041 3.090 1.819
In 12.053 2.064 1.215
Re 6.014 1.030 0.606
```

## Properties
- E: -19.30 eV for the cell shown
- ρ: 10.03 Mg/m³
- Formation energy without anion corrections: 527 meV/atom

***

[7]
Here is crystalline InRe2Se at its relaxed geometry from Alexandria via LeMat-Bulk. Energies are from PBE-GGA.

```
4
Lattice="-0.117 8.747 0.797 -0.796 7.971 3.604 2.063 8.088 2.735" Properties=species:S:1:pos:R:3 pbc="T T T"
Re 0.585 12.617 3.630
In 0.863 18.605 5.352
Re 1.140 24.592 7.074
Se 0.288 6.202 1.784
```

## Properties
- E: -28.56 eV for the cell shown
- ρ: 14.10 Mg/m³
- Formation energy without anion corrections: 641 meV/atom

***

[8]
Here is crystalline InRe2Se at its relaxed geometry from Alexandria via LeMat-Bulk. Energies are from PBE-GGA.

```
4
Lattice="-1.238 0.278 2.775 -1.048 -2.070 -1.983 5.664 -5.850 3.113" Properties=species:S:1:pos:R:3 pbc="T T T"
In 3.105 -5.284 2.731
Se 0.273 -2.359 1.175
Re 2.700 -2.789 1.484
Re 0.132 -0.136 0.072
```

## Properties
- E: -27.43 eV for the cell shown
- ρ: 13.49 Mg/m³
- Formation energy without anion corrections: 922 meV/atom